A plane-wave DFT calculation with GGA-PBEsol was carried out for a relaxed structure of TaCdAs2.

```
TaCdAs2
1.0
1.671 0.965 8.017
-1.671 0.965 8.017
0.000 -1.929 8.017
Ta Cd As
1 1 2
Direct
0.000 0.000 0.000
0.500 0.500 0.500
0.260 0.260 0.260
0.740 0.740 0.740
```

Calculated values
**ΔH_f (0 K)**: -125 meV per atom
**DOS at the Fermi energy**: 0.4883 states/eV per atom
**Space group**: R-3m (166)
**Total magnetization**: 0.000 μB/atom